(1)
The following is a DFT calculation (PBE) of an optimized crystal structure of Zn3GaIr.

The structure in extended XYZ format:
```
5
Lattice="-0.255 3.412 2.988 0.586 -2.943 3.410 4.497 0.577 -0.274" Properties=species:S:1:pos:R:3 pbc="T T T"
Zn 0.293 -1.471 1.705
Zn 2.249 0.288 -0.137
Zn -0.128 1.706 1.494
Ir 2.414 0.523 3.062
Ga 0.000 0.000 0.000
```

Output
- distance to the lowest polymorph of the same formula (eV/atom) = 1.1869
- symmetry = Pm-3m (221)

(2)
The following is a DFT calculation (PBE) of an optimized crystal structure of Zn3GaIr4.

The structure in extended XYZ format:
```
8
Lattice="-3.554 0.091 2.408 -1.986 -2.540 -2.836 4.705 -3.681 3.257" Properties=species:S:1:pos:R:3 pbc="T T T"
Zn -0.993 -1.270 -1.418
Zn -0.803 -2.423 2.735
Zn -0.032 -3.707 0.093
Ir 1.455 -3.690 2.289
Ir -2.291 -2.440 0.540
Ir 0.479 -1.216 0.754
Ir -1.315 -4.914 2.075
Ga -1.777 0.046 1.204
```

Output
- symmetry = I4/mmm (139)

(3)
The following is a DFT calculation (PBE) of an optimized crystal structure of ZnGa2Ir2.

The structure in extended XYZ format:
```
5
Lattice="3.555 0.000 0.000 0.000 3.555 0.000 1.777 1.777 6.312" Properties=species:S:1:pos:R:3 pbc="T T T"
Zn 0.000 0.000 0.000
Ir 1.777 1.777 1.325
Ir 3.555 3.555 4.987
Ga 3.555 1.777 3.156
Ga 1.777 3.555 3.156
```

Output
- symmetry = I4/mmm (139)

(4)
The following is a DFT calculation (PBE) of an optimized crystal structure of ZnGa2Ir.

The structure in extended XYZ format:
```
4
Lattice="-2.113 -0.604 1.969 0.181 -2.434 1.658 3.860 3.575 7.452" Properties=species:S:1:pos:R:3 pbc="T T T"
Zn 0.000 0.000 0.000
Ir 0.964 0.269 5.539
Ga 2.596 2.287 5.700
Ga -0.668 -1.750 5.379
```

Output
- symmetry = R-3m (166)

(5)
The following is a DFT calculation (PBE) of an optimized crystal structure of Zn3GaIr.

The structure in extended XYZ format:
```
5
Lattice="4.828 0.000 0.000 0.000 4.828 0.000 0.000 0.000 4.828" Properties=species:S:1:pos:R:3 pbc="T T T"
Zn 0.000 2.414 0.000
Zn 0.000 0.000 2.414
Zn 2.414 0.000 0.000
Ir 0.000 0.000 0.000
Ga 2.414 2.414 2.414
```

Output
- distance to the lowest polymorph of the same formula (eV/atom) = 0.4311
- symmetry = Pm-3m (221)

(6)
The following is a DFT calculation (PBE) of an optimized crystal structure of ZnGa2Ir2.

The structure in extended XYZ format:
```
10
Lattice="-6.960 2.064 -0.487 -1.519 -3.685 6.087 0.584 2.337 1.561" Properties=species:S:1:pos:R:3 pbc="T T T"
Zn 0.000 0.000 0.000
Zn -4.239 -0.811 2.800
Ir -1.820 -0.933 4.717
Ir -5.575 -0.568 5.575
Ir -6.075 1.648 2.444
Ir -2.320 1.283 1.585
Ga -3.827 -2.429 5.069
Ga -6.967 -0.574 3.465
Ga -4.652 0.808 0.531
Ga -1.511 -1.048 2.135
```

Output
- symmetry = P4/mbm (127)

(7)
The following is a DFT calculation (PBE) of an optimized crystal structure of Zn2Ga2Ir3.

The structure in extended XYZ format:
```
7
Lattice="-3.585 -0.529 2.295 1.235 -3.036 -2.767 5.592 -1.630 4.303" Properties=species:S:1:pos:R:3 pbc="T T T"
Zn 1.429 -1.189 1.944
Zn 1.814 -4.006 1.888
Ga -1.389 -1.856 1.413
Ga 4.632 -3.339 2.418
Ir 0.000 0.000 0.000
Ir 2.792 -2.308 3.788
Ir 0.451 -2.887 0.044
```

Output
- symmetry = P-1 (2)

(8)
The following is a DFT calculation (PBE) of an optimized crystal structure of ZnGa2Ir4.

The structure in extended XYZ format:
```
7
Lattice="-3.257 -2.292 -3.300 3.548 2.665 -2.658 2.339 -3.599 2.886" Properties=species:S:1:pos:R:3 pbc="T T T"
Zn 0.000 0.000 0.000
Ga 0.145 0.187 -2.979
Ga -0.459 -2.945 -0.207
Ir -1.629 -1.146 -1.650
Ir 1.315 -1.613 -1.536
Ir 1.170 -1.799 1.443
Ir 1.774 1.332 -1.329
```

Output
- symmetry = I4/mmm (139)

(9)
The following is a DFT calculation (PBE) of an optimized crystal structure of Zn2GaIr.

The structure in extended XYZ format:
```
8
Lattice="7.572 0.000 0.000 0.000 7.572 0.000 3.786 3.786 2.477" Properties=species:S:1:pos:R:3 pbc="T T T"
Zn 6.053 1.893 0.619
Zn 1.519 5.679 0.619
Zn 5.679 5.305 1.858
Zn 9.465 9.839 1.858
Ir 0.000 0.000 0.000
Ir 7.572 3.786 1.238
Ga 3.786 3.786 0.000
Ga 3.786 7.572 1.238
```

Output
- symmetry = I-42d (122)

(10)
The following is a DFT calculation (PBE) of an optimized crystal structure of Zn6Ga12Ir.

The structure in extended XYZ format:
```
19
Lattice="7.206 0.286 0.343 -0.810 7.166 0.343 -0.810 -0.944 7.112" Properties=species:S:1:pos:R:3 pbc="T T T"
Zn 4.294 5.810 3.316
Zn 4.039 1.928 1.489
Zn 0.495 4.162 2.163
Zn 1.293 0.699 4.482
Zn 1.548 4.581 6.309
Zn 5.092 2.347 5.635
Ga 5.255 3.444 3.240
Ga 1.746 5.584 3.968
Ga 2.608 2.167 6.203
Ga 0.332 3.065 4.557
Ga 3.840 0.925 3.830
Ga 2.979 4.342 1.594
Ga -0.471 6.677 2.746
Ga -1.085 3.905 6.768
Ga 4.024 6.745 0.737
Ga 6.057 -0.169 5.052
Ga 6.672 2.604 1.029
Ga 1.562 -0.237 7.061
Ir 0.000 0.000 0.000
```

Output
- symmetry = R-3 (148)

(11)
The following is a DFT calculation (PBE) of an optimized crystal structure of Zn4GaIr.

The structure in extended XYZ format:
```
12
Lattice="4.931 0.010 0.077 0.215 4.747 1.721 0.006 -0.096 7.683" Properties=species:S:1:pos:R:3 pbc="T T T"
Zn 1.393 2.601 4.007
Zn 0.710 3.499 1.658
Zn 3.945 4.458 6.345
Zn 3.191 3.651 8.706
Zn 3.759 2.059 5.474
Zn 1.207 0.202 3.136
Zn 4.442 1.161 7.824
Zn 1.961 1.009 0.775
Ga 3.779 1.721 2.739
Ga 1.374 2.939 6.742
Ir 3.885 4.064 3.686
Ir 1.267 0.596 5.796
```

Output
- symmetry = C2/c (15)

(12)
The following is a DFT calculation (PBE) of an optimized crystal structure of Zn2GaIr.

The structure in extended XYZ format:
```
4
Lattice="-0.879 -3.807 0.708 1.628 0.263 3.436 -3.341 1.051 1.503" Properties=species:S:1:pos:R:3 pbc="T T T"
Zn -1.670 0.526 0.751
Zn 0.814 0.131 1.718
Ir -0.440 -1.903 0.354
Ga -1.296 -1.246 2.823
```

Output
- symmetry = P4/mmm (123)

no.,energy of formation from the pure elements (meV per atom),spin magnetization (μB/f.u.),E_tot (eV/atom)
1,973,0.897,-2.17
2,-236,0.000,-5.52
3,-119,0.000,-5.13
4,-92,0.000,-4.14
5,217,0.000,-2.92
6,-256,0.000,-5.27
7,-263,0.000,-5.29
8,-34,0.000,-6.14
9,111,0.000,-3.50
10,38,0.000,-2.74
11,-146,0.000,-2.98
12,-160,0.000,-3.77